1.
Density functional theory data (GGA-PBE) for Tb3Tm after structural relaxation.

Fermi-level density of states = 6.91 states/eV per cell
Calculated density = 8.44 g cm⁻³
Calculated total energy = -4.58 eV per atom
Space-group type = Imm2 (44)

```
Tb3Tm
1.0
-2.1029 -2.9097 -0.4177
4.3817 -2.6547 -3.5675
1.1742 0.4535 6.5671
Tb Tm
3 1
Cartesian
-0.6325 -2.1698 2.6625
1.1367 -2.7806 -1.9904
2.6217 -2.0543 1.1112
0.0060 -0.0036 -0.0048
```

=====

2.
Density functional theory data (GGA-PBE) for Tb8Tm3 after structural relaxation.

Fermi-level density of states = 11.43 states/eV per cell
Calculated density = 8.25 g cm⁻³
Calculated total energy = -4.19 eV per atom
Space-group type = R-3 (148)

```
Tb8Tm3
1.0
-6.5357 -3.5990 -0.2050
5.2344 -5.2872 -0.5972
0.6147 2.6729 6.9418
Tb Tm
8 3
Cartesian
-3.4921 -3.2420 0.2191
2.8055 -2.9713 5.9204
-0.5055 -4.5744 4.5201
-3.9450 -2.8302 5.3083
-0.2794 -7.0387 1.4591
-0.4072 0.8255 4.6804
-0.1811 -1.6389 1.6194
3.2584 -3.3831 0.8313
2.9246 -1.3072 3.1723
-0.6507 -4.4431 -0.4011
-2.9605 -0.4630 3.3684
```

=====

3.
Density functional theory data (GGA-PBE) for Tb3Tm13 after structural relaxation.

Fermi-level density of states = 27.45 states/eV per cell
Calculated density = 9.06 g cm⁻³
Calculated total energy = -4.50 eV per atom
Space-group type = Amm2 (38)

```
Tb3Tm13
1.0
-4.0305 -0.0976 -7.2556
7.5546 -1.4113 -3.1360
-1.0372 -7.0427 0.6709
Tm Tb
13 3
Cartesian
0.4022 -0.3237 -2.7761
4.2771 -6.6820 -6.4192
4.6118 -4.6578 -3.6625
1.6372 -4.5960 -7.6123
2.5236 -5.9312 -1.2487
-1.1622 -4.0030 -5.7158
5.1307 -1.1365 -3.9979
-0.1132 -3.8465 -2.4508
1.4725 -6.0914 -4.5190
1.9910 -2.5710 -4.8544
2.1594 -1.0761 -7.9577
4.7945 -3.1683 -6.7539
3.0411 -2.4175 -1.5835
-4.3357 -5.4275 -6.5851
-3.8188 -1.9174 -6.9195
-0.6416 -0.4819 -6.0505
```

=====

4.
Density functional theory data (GGA-PBE) for TbTm4 after structural relaxation.

Fermi-level density of states = 18.72 states/eV per cell
Calculated density = 8.90 g cm⁻³
Calculated total energy = -4.30 eV per atom
Space-group type = P2/c (13)

```
TbTm4
1.0
-5.0365 -0.0449 -3.3796
5.1669 -1.3838 -3.1322
-1.2005 -8.7967 1.9060
Tm Tb
8 2
Cartesian
2.8761 -2.5152 -1.9607
-3.9463 -7.7102 -2.6452
0.7907 -4.1988 0.0268
-0.6624 -2.0778 -2.1709
-1.8609 -6.0266 -4.6327
0.8086 -4.8966 -3.1828
-0.4078 -8.1476 -2.4350
-1.8788 -5.3288 -1.4230
-2.3208 -7.7906 0.8406
-3.9162 -1.0510 -2.3143
```

=====

5.
Density functional theory data (GGA-PBE) for TbTm4 after structural relaxation.

Fermi-level density of states = 7.14 states/eV per cell
Calculated density = 8.19 g cm⁻³
Calculated total energy = -3.74 eV per atom
Space-group type = Pm-3m (221)

```
TbTm4
1.0
-2.3790 -3.0483 -3.9555
-2.7772 -2.8337 3.8542
-4.1503 3.6436 -0.3118
Tm Tb
4 1
Cartesian
-2.5781 -2.9410 -0.0507
-3.2647 0.2976 -2.1336
-3.4638 0.4049 1.7712
0.0000 0.0000 0.0000
-4.6533 -1.1193 -0.2065
```

=====

6.
Density functional theory data (GGA-PBE) for Tb6Tm after structural relaxation.

Fermi-level density of states = 6.40 states/eV per cell
Calculated density = 7.28 g cm⁻³
Calculated total energy = -3.11 eV per atom
Space-group type = Im-3m (229)

```
Tb6Tm
1.0
-1.2699 -4.7132 4.9189
6.2781 2.7557 1.0070
-4.7912 4.9979 0.2976
Tb Tm
6 1
Cartesian
-2.6588 2.0807 2.9344
1.9955 3.3874 2.1338
-0.7718 3.9479 1.9564
-1.7785 -0.3471 4.0898
2.8759 0.9596 3.2891
0.9888 -0.9076 4.2671
0.0000 0.0000 0.0000
```

=====

7.
Density functional theory data (GGA-PBE) for TbTm5 after structural relaxation.

Fermi-level density of states = 16.20 states/eV per cell
Calculated density = 9.22 g cm⁻³
Calculated total energy = -4.47 eV per atom
Space-group type = C2/m (12)

```
TbTm5
1.0
0.8096 3.4993 4.8794
-5.5844 0.1663 -4.2129
-4.6982 -7.2003 5.9433
Tm Tb
10 2
Cartesian
-3.3223 -4.5252 5.6768
-6.1507 0.9905 0.9330
-7.3408 -1.9613 -0.5152
-4.9250 -1.4911 5.0179
-5.7720 0.4429 -2.4998
-2.9796 0.3599 -0.3920
-4.5479 -2.0436 1.5920
-3.7009 -3.9776 9.1096
-2.1321 -1.5734 7.1251
-6.4933 -3.8946 7.0018
-6.1140 -4.4425 3.5702
-3.3589 0.9078 3.0397
```

=====

8.
Density functional theory data (GGA-PBE) for TbTm6 after structural relaxation.

Fermi-level density of states = 20.44 states/eV per cell
Calculated density = 8.75 g cm⁻³
Calculated total energy = -4.22 eV per atom
Space-group type = P4/nbm (125)

```
TbTm6
1.0
-5.1884 -1.6427 -3.4042
-3.2565 -0.9920 5.4421
-3.2280 10.3058 -0.0531
Tm Tb
12 2
Cartesian
-8.2337 4.6441 2.2138
-5.1899 2.4727 -1.3775
-2.7703 8.8444 -0.0456
-4.6802 0.1440 1.0115
-7.6618 1.7096 0.7900
-5.1100 5.6268 3.0310
-4.3253 5.8557 -0.2435
-6.9928 7.5271 0.9734
-7.4490 4.8730 -1.0607
-0.4577 1.4613 -0.0075
-3.1252 3.1328 1.2094
-5.5971 2.3697 3.3770
-1.6283 -0.4960 2.7211
-2.5942 -0.8213 -1.7021
```

=====

9.
Density functional theory data (GGA-PBE) for TbTm3 after structural relaxation.

Fermi-level density of states = 9.54 states/eV per cell
Calculated density = 8.95 g cm⁻³
Calculated total energy = -4.37 eV per atom
Space-group type = Fm-3m (225)

```
TbTm3
1.0
-0.6725 5.3510 -1.4677
-3.9158 1.4029 -3.7333
-4.5519 2.7972 1.6417
Tb Tm
1 3
Cartesian
-4.5701 4.7756 -1.7796
0.0000 0.0000 0.0000
-2.2851 2.3878 -0.8898
-6.8552 7.1634 -2.6694
```

=====

10.
Density functional theory data (GGA-PBE) for Tb2Tm5 after structural relaxation.

Fermi-level density of states = 22.34 states/eV per cell
Calculated density = 8.95 g cm⁻³
Calculated total energy = -4.52 eV per atom
Space-group type = C2/c (15)

```
Tb2Tm5
1.0
-6.0058 0.1577 -1.5046
-2.0950 -3.7875 7.9656
2.5881 7.2438 3.1754
Tb Tm
4 10
Cartesian
-5.3410 -1.1417 4.1823
-3.2312 2.9147 8.9329
-2.2815 0.6992 0.7035
-0.1717 4.7557 5.4541
-7.1501 -1.4151 7.1256
-2.0885 0.3733 4.1484
-1.6109 3.5343 2.5545
-3.9018 0.0797 7.0819
-4.8548 2.0259 2.5979
-2.5707 -2.8144 5.7238
1.6374 5.0291 2.5108
-5.5301 -0.8155 0.7372
-3.4242 3.2407 5.4880
-0.6579 1.5880 7.0385
```

=====

11.
Density functional theory data (GGA-PBE) for TbTm4 after structural relaxation.

Fermi-level density of states = 7.27 states/eV per cell
Calculated density = 9.19 g cm⁻³
Calculated total energy = -4.48 eV per atom
Space-group type = C2/m (12)

```
TbTm4
1.0
-3.1714 -1.4748 0.0659
-0.6137 -2.9027 -1.8533
2.6839 -9.3699 10.5480
Tm Tb
4 1
Cartesian
-1.4194 -9.1191 4.8930
0.3182 -4.6283 3.8676
0.6285 -9.2293 7.7041
-1.7297 -4.5181 1.0564
0.0000 0.0000 0.0000
```

=====

12.
Density functional theory data (GGA-PBE) for TbTm after structural relaxation.

Fermi-level density of states = 4.40 states/eV per cell
Calculated density = 8.86 g cm⁻³
Calculated total energy = -4.53 eV per atom
Space-group type = Pmmn (59)

```
TbTm
1.0
-1.2008 -2.4500 2.2094
-1.3684 -2.8161 -3.8664
6.3217 -3.0878 0.0117
Tm Tb
2 2
Cartesian
-0.5460 -3.1067 -2.3453
4.2985 -5.2471 0.7000
2.6327 -4.6574 -2.3408
1.1198 -3.6965 0.6956
```

=====

13.
Density functional theory data (GGA-PBE) for Tb3Tm7 after structural relaxation.

Fermi-level density of states = 36.92 states/eV per cell
Calculated density = 8.88 g cm⁻³
Calculated total energy = -4.32 eV per atom
Space-group type = P6_3mc (186)

```
Tb3Tm7
1.0
6.3513 0.0000 0.0000
0.0000 10.6245 0.0000
0.0000 -5.3123 9.2011
Tm Tb
14 6
Cartesian
5.6217 5.3123 6.9766
2.4461 0.0000 2.2245
1.3400 0.0000 8.6710
1.3400 -2.1970 4.8656
2.4461 3.3858 8.0889
5.6217 8.6981 1.1122
4.5156 5.3123 0.5302
5.6217 1.9265 1.1122
1.3400 2.1970 4.8656
4.5156 7.5093 4.3355
2.4461 -3.3858 8.0889
0.1125 5.3123 3.0670
4.5156 3.1153 4.3355
3.2881 0.0000 6.1341
2.3329 3.2694 1.8876
5.5085 0.0000 3.7752
5.5085 -2.0429 7.3135
2.3329 5.3123 5.4259
2.3329 7.3551 1.8876
5.5085 2.0428 7.3135
```

=====

14.
Density functional theory data (GGA-PBE) for Tb4Tm after structural relaxation.

Fermi-level density of states = 6.39 states/eV per cell
Calculated density = 8.55 g cm⁻³
Calculated total energy = -4.58 eV per atom
Space-group type = C2/m (12)

```
Tb4Tm
1.0
3.4950 0.0020 0.5598
1.6993 3.0541 0.5598
-0.5556 -0.3269 14.5294
Tb Tm
4 1
Cartesian
0.8194 0.4821 6.0268
3.0099 1.7709 3.5476
1.6288 0.9583 12.1013
3.8193 2.2471 9.6221
0.0000 0.0000 0.0000
```

=====

15.
Density functional theory data (GGA-PBE) for TbTm3 after structural relaxation.

Fermi-level density of states = 6.32 states/eV per cell
Calculated density = 9.00 g cm⁻³
Calculated total energy = -4.51 eV per atom
Space-group type = Pmm2 (25)

```
TbTm3
1.0
-1.8002 1.0750 -2.9001
-3.3954 -4.3520 0.4944
-3.7769 3.3543 3.5879
Tm Tb
3 1
Cartesian
-3.7734 3.3512 3.5845
-5.7437 1.1554 1.7856
-2.7897 2.2157 0.3449
-2.9606 -1.0543 1.4469
```

=====

16.
Density functional theory data (GGA-PBE) for Tb5Tm6 after structural relaxation.

Fermi-level density of states = 11.73 states/eV per cell
Calculated density = 8.70 g cm⁻³
Calculated total energy = -4.40 eV per atom
Space-group type = C2/m (12)

```
Tb5Tm6
1.0
8.9168 0.0000 -0.7067
4.4584 6.4446 -0.3533
2.3298 0.0000 5.8242
Tm Tb
6 5
Cartesian
7.7348 1.6796 0.4238
2.1760 0.0000 1.6892
12.1933 4.7650 0.0705
3.5117 1.6796 4.6937
7.9701 4.7650 4.3404
9.0706 0.0000 3.4284
10.0817 3.0931 2.2054
4.4584 1.6714 -0.3533
5.6233 3.3515 2.5588
5.6233 0.0000 2.5588
8.9168 4.7732 -0.7067
```

=====

17.
Density functional theory data (GGA-PBE) for Tb4Tm after structural relaxation.

Fermi-level density of states = 6.87 states/eV per cell
Calculated density = 7.40 g cm⁻³
Calculated total energy = -3.89 eV per atom
Space-group type = Pm-3m (221)

```
Tb4Tm
1.0
-5.3428 0.9265 1.5900
0.4468 -4.0833 3.8806
1.7852 3.7947 3.7875
Tb Tm
4 1
Cartesian
-2.4480 -1.5784 2.7353
1.1160 -0.1443 3.8340
0.0000 0.0000 0.0000
-1.7788 2.3606 2.6888
-1.5554 0.3190 4.6290
```

=====

18.
Density functional theory data (GGA-PBE) for TbTm5 after structural relaxation.

Fermi-level density of states = 7.83 states/eV per cell
Calculated density = 9.21 g cm⁻³
Calculated total energy = -4.47 eV per atom
Space-group type = Cmmm (65)

```
TbTm5
1.0
-4.7336 0.9765 -0.9995
-1.2793 -1.5995 4.4960
1.4890 7.6639 0.4357
Tm Tb
5 1
Cartesian
-2.0833 2.7799 0.3962
-2.4407 4.2611 3.5360
-3.0065 -0.3115 1.7482
0.5652 4.5678 1.7859
-0.3555 1.4966 3.1458
0.0000 0.0000 0.0000
```

=====

19.
Density functional theory data (GGA-PBE) for Tb3Tm7 after structural relaxation.

Fermi-level density of states = 19.57 states/eV per cell
Calculated density = 9.00 g cm⁻³
Calculated total energy = -4.46 eV per atom
Space-group type = C2/m (12)

```
Tb3Tm7
1.0
-0.3302 -5.3560 -1.1946
0.9223 -1.5551 6.7175
-7.5222 2.5206 3.4275
Tm Tb
7 3
Cartesian
-1.4859 -3.0217 1.3088
0.4611 -0.7776 3.3588
-1.0355 -3.7982 4.6658
-3.7925 -4.1004 6.7824
-3.1376 -0.2901 2.1680
-5.4442 -1.3688 7.6416
-5.8946 -0.5923 4.2846
-2.6687 -1.0695 5.5325
-4.2614 -3.3210 3.4179
0.0000 0.0000 0.0000
```

=====

20.
Density functional theory data (GGA-PBE) for Tb4Tm5 after structural relaxation.

Fermi-level density of states = 12.49 states/eV per cell
Calculated density = 8.91 g cm⁻³
Calculated total energy = -4.52 eV per atom
Space-group type = C2/m (12)

```
Tb4Tm5
1.0
4.9570 0.0045 0.0040
2.4797 7.4468 -0.4886
2.4797 0.4964 7.4462
Tb Tm
4 5
Cartesian
4.9586 5.2966 4.6397
4.9577 4.9679 -0.3229
4.9577 2.6509 2.3222
4.9586 7.6136 1.9945
4.9592 2.9750 7.2802
2.4797 0.5007 7.4414
2.4797 5.1300 2.1564
4.9570 0.3392 4.9713
2.4797 2.8090 4.8062
```

=====

21.
Density functional theory data (GGA-PBE) for Tb7Tm6 after structural relaxation.

Fermi-level density of states = 25.12 states/eV per cell
Calculated density = 8.44 g cm⁻³
Calculated total energy = -4.30 eV per atom
Space-group type = R-3m (166)

```
Tb7Tm6
1.0
6.3391 0.0000 1.2735
3.0416 5.5617 1.2735
0.8664 0.5137 12.1011
Tm Tb
6 7
Cartesian
1.8653 1.1059 7.1290
7.1210 4.2220 13.7952
8.3819 4.9695 7.5191
3.1261 1.8534 0.8529
1.1792 0.6992 10.5440
9.0679 5.3763 4.1042
2.9613 3.6694 9.7297
5.1236 3.0377 7.3241
4.0581 2.4060 4.2700
5.6069 5.2379 4.9184
4.6403 0.8375 9.7297
6.1890 3.6694 10.3781
7.2858 2.4060 4.9184
```

=====

22.
Density functional theory data (GGA-PBE) for Tb3Tm after structural relaxation.

Fermi-level density of states = 5.81 states/eV per cell
Calculated density = 8.58 g cm⁻³
Calculated total energy = -4.57 eV per atom
Space-group type = Pm-3m (221)

```
Tb3Tm
1.0
4.9995 0.0000 0.0000
0.0000 4.9995 0.0000
0.0000 0.0000 4.9995
Tb Tm
3 1
Cartesian
2.4998 0.0000 2.4998
0.0000 2.4998 2.4998
2.4998 2.4998 0.0000
0.0000 0.0000 0.0000
```

=====

23.
Density functional theory data (GGA-PBE) for Tb5Tm2 after structural relaxation.

Fermi-level density of states = 18.07 states/eV per cell
Calculated density = 8.49 g cm⁻³
Calculated total energy = -4.44 eV per atom
Space-group type = R-3m (166)

```
Tb5Tm2
1.0
-0.2073 1.7742 5.3369
-4.9239 1.4943 2.2794
-2.8676 -6.5071 5.0193
Tb Tm
5 2
Cartesian
-2.1313 -1.6737 3.4410
-5.3735 1.6782 8.1356
-3.9994 -1.6193 6.3178
-5.8675 -1.5649 9.1946
-2.6253 -4.9168 4.5000
-4.5057 -4.9435 7.4033
-3.4930 1.7049 5.2324
```

=====

24.
Density functional theory data (GGA-PBE) for Tb5Tm2 after structural relaxation.

Fermi-level density of states = 10.85 states/eV per cell
Calculated density = 8.24 g cm⁻³
Calculated total energy = -4.37 eV per atom
Space-group type = C2/m (12)

```
Tb5Tm2
1.0
3.3620 -0.0002 0.8564
1.5361 8.1601 0.9952
-0.3076 -0.0466 8.2322
Tb Tm
5 2
Cartesian
3.6411 5.3773 6.7849
3.0819 5.2108 1.9544
1.5085 2.9025 8.1293
0.9493 2.7360 3.2989
0.0000 0.0000 0.0000
2.5106 7.4168 4.1957
2.0798 0.6965 5.8880
```